No. 1
Here is a geometry-optimized ZrTcSe structure from the Alexandria database. Energies are from PBE.

Its uncorrected formation energy is -0.45 eV per atom. The value obtained for the total energy is -7.92 eV/atom.

It has space group C2/m (No. 12), with a = 13.394 Å, b = 3.401 Å, c = 5.037 Å, α = 90.00°, β = 92.29° and γ = 90.00°. The asymmetric unit holds Zr at (0.112, 0.000, 0.218), Tc at (0.046, 0.500, 0.707) and Se at (0.199, 0.000, 0.742).



No. 2
Here is a geometry-optimized Tm3URu3 structure from the Alexandria database. Energies are from PBE.

The formation energy comes out at -0.42 eV per atom. The value obtained for the total energy is -7.93 eV/atom.

It has space group R3m (No. 160, hexagonal axes), with a = 9.3629 Å, b = 9.3629 Å, c = 5.9262 Å, α = 90.00°, β = 90.00° and γ = 120.00°. The asymmetric unit holds Tm at (0.2012, 0.4025, 0.0000), U at (0.0000, 0.0000, 0.8137) and Ru at (0.1859, 0.3717, 0.5145).



No. 3
Here is a geometry-optimized Na7In2Pb2 structure from the Alexandria database. Energies are from PBE.

The formation energy comes out at -0.11 eV per atom. The value obtained for the total energy is -2.12 eV/atom.

It has space group Imm2 (No. 44), with a = 5.334 Å, b = 14.149 Å, c = 8.634 Å, α = 90.00°, β = 90.00° and γ = 90.00°. The asymmetric unit holds Na at (0.000, 0.000, 0.000), Na at (0.000, 0.152, 0.687), Na at (0.000, 0.349, 0.475), Na at (0.000, 0.354, 0.898), In at (0.000, 0.000, 0.402), In at (0.000, 0.500, 0.182) and Pb at (0.000, 0.192, 0.196).



No. 4
Here is a geometry-optimized Na2HfAs2 structure from the Alexandria database. Energies are from PBE.

The formation energy comes out at -0.30 eV per atom. The value obtained for the total energy is -4.68 eV/atom.

It has space group P4/mbm (No. 127), with a = 7.011 Å, b = 7.011 Å, c = 4.759 Å, α = 90.00°, β = 90.00° and γ = 90.00°. The asymmetric unit holds Na at (0.162, 0.338, 0.000), Hf at (0.000, 0.000, 0.500) and As at (0.145, 0.645, 0.500).



No. 5
Here is a geometry-optimized TbHBr structure from the Alexandria database. Energies are from PBE.

The value obtained for the total energy is -4.08 eV/atom.

It has space group Pmmn (No. 59, origin choice 2), with a = 3.727 Å, b = 5.625 Å, c = 6.756 Å, α = 90.00°, β = 90.00° and γ = 90.00°. The asymmetric unit holds Tb at (0.250, 0.250, 0.133), H at (0.250, 0.750, 0.715) and Br at (0.250, 0.750, 0.209).



No. 6
Here is a geometry-optimized Sm4YIn structure from the Alexandria database. Energies are from PBE.

The formation energy comes out at -0.03 eV per atom. The value obtained for the total energy is -4.71 eV/atom.

It has space group Cmc2_1 (No. 36), with a = 5.676 Å, b = 21.202 Å, c = 6.467 Å, α = 90.00°, β = 90.00° and γ = 90.00°. The asymmetric unit holds Sm at (0.000, 0.043, 0.000), Sm at (0.000, 0.187, 0.841), Sm at (0.000, 0.249, 0.309), Sm at (0.000, 0.438, 0.183), Y at (0.000, 0.364, 0.697) and In at (0.000, 0.104, 0.445).